[1]
! Na3CrB | Alexandria | GGA-PBEsol | optimized geometry; values from VASP
! E above lowest polymorph, meV/atom: 0.0
! Formation enthalpy at 0 K, eV/atom: 1.293
&SYSTEM
  ibrav = 0, nat = 5, ntyp = 3
/
ATOMIC_SPECIES
Na 22.99 Na.upf
Cr 52.00 Cr.upf
B 10.81 B.upf
CELL_PARAMETERS angstrom
5.044 0.000 0.000
0.000 5.044 0.000
0.000 0.000 5.044
ATOMIC_POSITIONS angstrom
Na 0.000 0.000 2.522
Na 0.000 2.522 0.000
Na 2.522 0.000 0.000
Cr 2.522 2.522 2.522
B 0.000 0.000 0.000



[2]
! Na2Cr2B | Alexandria | GGA-PBEsol | optimized geometry; values from VASP
! Formation enthalpy at 0 K, eV/atom: 1.318
&SYSTEM
  ibrav = 0, nat = 5, ntyp = 3
/
ATOMIC_SPECIES
Na 22.99 Na.upf
Cr 52.00 Cr.upf
B 10.81 B.upf
CELL_PARAMETERS angstrom
-1.516 1.516 9.503
1.516 -1.516 9.503
1.516 1.516 -9.503
ATOMIC_POSITIONS angstrom
Na 0.000 0.000 1.822
Na 0.000 0.000 17.185
Cr 1.516 0.000 4.752
Cr 0.000 1.516 4.752
B 0.000 0.000 9.503



[3]
! Na3CrB | Alexandria | GGA-PBEsol | optimized geometry; values from VASP
! E above lowest polymorph, meV/atom: 508.1
! Formation enthalpy at 0 K, eV/atom: 1.801
&SYSTEM
  ibrav = 0, nat = 5, ntyp = 3
/
ATOMIC_SPECIES
Na 22.99 Na.upf
Cr 52.00 Cr.upf
B 10.81 B.upf
CELL_PARAMETERS angstrom
5.512 0.000 0.000
0.000 5.512 0.000
0.000 0.000 5.512
ATOMIC_POSITIONS angstrom
Na 0.000 0.000 2.756
Na 0.000 2.756 0.000
Na 2.756 0.000 0.000
Cr 0.000 0.000 0.000
B 2.756 2.756 2.756



[4]
! Na3CrB2O6 | Alexandria | GGA-PBEsol | optimized geometry; values from VASP
! Formation energy without anion corrections, kJ/mol of formula units: -2414
&SYSTEM
  ibrav = 0, nat = 48, ntyp = 4
/
ATOMIC_SPECIES
Na 22.99 Na.upf
Cr 52.00 Cr.upf
B 10.81 B.upf
O 16.00 O.upf
CELL_PARAMETERS angstrom
5.469 0.000 0.000
0.000 9.044 0.000
-4.783 0.000 10.116
ATOMIC_POSITIONS angstrom
Na -1.729 0.589 3.904
Na -4.121 3.933 8.962
Na -3.937 1.116 8.832
Na -1.545 3.406 3.774
Na -0.470 4.980 6.388
Na 1.922 8.586 1.330
Na -1.236 0.458 8.786
Na 1.156 4.064 3.728
Na 2.231 5.638 6.342
Na 4.622 7.928 1.284
Na 4.807 5.111 1.154
Na 2.415 8.455 6.212
Cr -1.670 6.501 8.901
Cr 0.721 7.065 3.843
Cr -0.035 1.979 6.273
Cr 2.356 2.543 1.215
B -1.643 6.365 3.888
B -4.035 7.201 8.946
B 1.879 5.739 1.376
B -0.512 7.827 6.435
B 1.198 1.217 3.682
B -1.194 3.305 8.740
B 4.721 1.843 1.171
B 2.329 2.679 6.229
O -3.537 5.955 8.606
O -1.145 7.611 3.548
O 0.573 1.538 0.959
O -1.819 2.985 6.017
O -0.596 5.444 4.033
O -2.988 8.122 9.091
O 0.917 6.620 1.905
O -1.475 6.947 6.963
O 0.096 1.789 4.302
O -2.296 2.733 9.360
O -0.778 0.140 6.505
O 1.614 4.382 1.447
O -0.928 4.662 8.669
O 1.464 8.904 3.611
O 2.982 6.312 0.756
O 0.590 7.255 5.814
O 2.161 2.098 3.153
O -0.231 2.425 8.211
O 3.673 0.922 1.025
O 1.282 3.600 6.083
O 2.504 6.060 4.099
O 0.113 7.507 9.157
O 1.831 1.433 6.569
O 4.222 3.089 1.511



[5]
! Na3CrBPO7 | Alexandria | GGA-PBEsol | optimized geometry; values from VASP
! Formation energy without anion corrections, kJ/mol of formula units: -2717
&SYSTEM
  ibrav = 0, nat = 26, ntyp = 5
/
ATOMIC_SPECIES
Na 22.99 Na.upf
Cr 52.00 Cr.upf
B 10.81 B.upf
P 30.97 P.upf
O 16.00 O.upf
CELL_PARAMETERS angstrom
5.206 0.000 0.000
0.000 6.449 0.000
-0.273 0.000 8.844
ATOMIC_POSITIONS angstrom
Na 1.221 1.612 0.636
Na 1.096 3.256 6.564
Na 1.096 6.418 6.564
Na 3.837 0.031 2.280
Na 3.837 3.193 2.280
Na 3.712 4.837 8.208
Cr 1.065 4.837 2.963
Cr 3.869 1.612 5.881
B 1.407 4.837 0.606
B 3.526 1.612 8.238
P 1.345 1.612 3.737
P 3.588 4.837 5.107
O 0.152 4.837 1.235
O 0.477 1.612 5.003
O 1.033 0.388 2.834
O 1.033 2.836 2.834
O 1.335 4.837 8.125
O 2.081 4.837 4.719
O 2.421 4.837 1.579
O 2.512 1.612 7.265
O 2.852 1.612 4.125
O 3.598 1.612 0.719
O 3.900 3.613 6.010
O 3.900 6.060 6.010
O 4.457 4.837 3.841
O 4.781 1.612 7.609



[6]
! NaCrB2Te | Alexandria | GGA-PBEsol | optimized geometry; values from VASP
! Formation energy without anion corrections, kJ/mol of formula units: 870
&SYSTEM
  ibrav = 0, nat = 5, ntyp = 4
/
ATOMIC_SPECIES
Na 22.99 Na.upf
Cr 52.00 Cr.upf
B 10.81 B.upf
Te 127.60 Te.upf
CELL_PARAMETERS angstrom
4.590 0.000 0.000
0.000 4.590 0.000
0.000 0.000 4.970
ATOMIC_POSITIONS angstrom
Na 0.000 0.000 0.000
Cr 2.295 2.295 0.000
B 0.000 2.295 2.485
B 2.295 0.000 2.485
Te 2.295 2.295 2.485



[7]
! Nb5CrB4Ru10 | Alexandria | GGA-PBEsol | optimized geometry; values from VASP
! Formation enthalpy at 0 K, eV/atom: -0.412
&SYSTEM
  ibrav = 0, nat = 20, ntyp = 4
/
ATOMIC_SPECIES
Nb 92.91 Nb.upf
Cr 52.00 Cr.upf
B 10.81 B.upf
Ru 101.07 Ru.upf
CELL_PARAMETERS angstrom
9.311 0.000 0.000
0.000 9.311 0.000
0.000 0.000 2.954
ATOMIC_POSITIONS angstrom
Nb 0.000 0.000 0.000
Nb 1.667 6.285 0.000
Nb 3.026 1.667 0.000
Nb 6.285 7.645 0.000
Nb 7.645 3.026 0.000
Cr 4.656 4.656 0.000
B 1.175 3.552 0.000
B 3.552 8.136 0.000
B 5.760 1.175 0.000
B 8.136 5.760 0.000
Ru 0.000 4.656 1.477
Ru 0.678 2.051 1.477
Ru 2.051 8.634 1.477
Ru 2.671 4.031 1.477
Ru 4.031 6.640 1.477
Ru 4.656 0.000 1.477
Ru 5.280 2.671 1.477
Ru 6.640 5.280 1.477
Ru 7.260 0.678 1.477
Ru 8.634 7.260 1.477



[8]
! Cr3NiB6 | Alexandria | GGA-PBEsol | optimized geometry; values from VASP
! Formation enthalpy at 0 K, eV/atom: -0.428
&SYSTEM
  ibrav = 0, nat = 10, ntyp = 3
/
ATOMIC_SPECIES
Cr 52.00 Cr.upf
Ni 58.69 Ni.upf
B 10.81 B.upf
CELL_PARAMETERS angstrom
2.950 0.000 0.000
0.000 1.451 8.875
0.000 -1.451 8.875
ATOMIC_POSITIONS angstrom
Cr 0.000 0.000 0.000
Cr 0.000 0.000 4.895
Cr 1.475 0.000 2.351
Ni 1.475 0.000 7.210
B 0.000 0.000 10.338
B 0.000 0.000 12.057
B 0.000 0.000 15.599
B 1.475 0.000 9.374
B 1.475 0.000 12.918
B 1.475 0.000 14.645



[9]
! CrNi2BO5 | Alexandria | GGA-PBEsol | optimized geometry; values from VASP
! Formation energy without anion corrections, kJ/mol of formula units: -1273
&SYSTEM
  ibrav = 0, nat = 36, ntyp = 4
/
ATOMIC_SPECIES
Cr 52.00 Cr.upf
Ni 58.69 Ni.upf
B 10.81 B.upf
O 16.00 O.upf
CELL_PARAMETERS angstrom
9.078 0.000 0.000
0.000 12.031 0.000
0.000 0.000 2.983
ATOMIC_POSITIONS angstrom
Cr 2.190 1.349 0.000
Cr 2.349 7.365 0.000
Cr 6.729 4.666 0.000
Cr 6.888 10.681 0.000
Ni 0.000 0.000 1.492
Ni 0.000 6.015 0.000
Ni 0.012 8.647 1.492
Ni 4.527 2.631 1.492
Ni 4.539 0.000 0.000
Ni 4.539 6.015 1.492
Ni 4.551 9.399 1.492
Ni 9.066 3.384 1.492
B 2.085 10.348 0.000
B 2.454 4.333 0.000
B 6.624 7.698 0.000
B 6.992 1.683 0.000
O 0.994 1.729 1.492
O 1.075 4.322 0.000
O 1.067 6.927 1.492
O 1.380 11.542 0.000
O 1.405 9.144 0.000
O 3.134 3.129 0.000
O 3.158 5.527 0.000
O 3.472 0.912 1.492
O 3.464 10.337 0.000
O 3.545 7.744 1.492
O 5.533 4.286 1.492
O 5.614 1.693 0.000
O 5.606 11.119 1.492
O 5.919 6.503 0.000
O 5.944 8.902 0.000
O 7.673 2.887 0.000
O 7.697 0.488 0.000
O 8.011 5.104 1.492
O 8.003 7.708 0.000
O 8.083 10.302 1.492



[10]
! Cr2NiBS | Alexandria | GGA-PBEsol | optimized geometry; values from VASP
! Formation energy without anion corrections, kJ/mol of formula units: 505
&SYSTEM
  ibrav = 0, nat = 5, ntyp = 4
/
ATOMIC_SPECIES
Cr 52.00 Cr.upf
Ni 58.69 Ni.upf
B 10.81 B.upf
S 32.06 S.upf
CELL_PARAMETERS angstrom
4.147 0.000 0.000
0.000 4.147 0.000
0.000 0.000 3.648
ATOMIC_POSITIONS angstrom
Cr 0.000 2.073 0.000
Cr 2.073 0.000 0.000
Ni 0.000 0.000 1.824
B 2.073 2.073 1.824
S 2.073 2.073 0.000



[11]
! CrBPO2 | Alexandria | GGA-PBEsol | optimized geometry; values from VASP
! Formation energy without anion corrections, kJ/mol of formula units: -110
&SYSTEM
  ibrav = 0, nat = 5, ntyp = 4
/
ATOMIC_SPECIES
Cr 52.00 Cr.upf
B 10.81 B.upf
P 30.97 P.upf
O 16.00 O.upf
CELL_PARAMETERS angstrom
3.109 0.000 0.000
0.000 3.109 0.000
0.000 0.000 6.424
ATOMIC_POSITIONS angstrom
Cr 0.000 0.000 0.000
B 1.555 1.555 3.212
P 1.555 1.555 0.000
O 0.000 1.555 3.212
O 1.555 0.000 3.212



[12]
! Cr12BP3 | Alexandria | GGA-PBEsol | optimized geometry; values from VASP
! Formation enthalpy at 0 K, eV/atom: -0.357
&SYSTEM
  ibrav = 0, nat = 16, ntyp = 3
/
ATOMIC_SPECIES
Cr 52.00 Cr.upf
B 10.81 B.upf
P 30.97 P.upf
CELL_PARAMETERS angstrom
4.399 0.000 0.000
2.131 6.238 0.000
2.167 -0.204 6.295
ATOMIC_POSITIONS angstrom
Cr 0.000 0.000 0.000
Cr 3.139 4.568 4.428
Cr 3.127 6.105 2.369
Cr 2.087 2.193 2.850
Cr 2.115 3.562 0.544
Cr 2.065 1.348 0.208
Cr 3.188 0.184 4.227
Cr 4.173 2.570 4.086
Cr 4.379 4.829 0.679
Cr 5.391 4.391 2.685
Cr 4.354 2.314 1.465
Cr 6.533 2.375 5.539
B 3.238 3.936 2.383
P 5.363 4.297 5.037
P 3.212 0.360 1.927
P 5.376 0.694 4.512



[13]
! Cr2SiBP | Alexandria | GGA-PBEsol | optimized geometry; values from VASP
! Formation energy without anion corrections, kJ/mol of formula units: 545
&SYSTEM
  ibrav = 0, nat = 5, ntyp = 4
/
ATOMIC_SPECIES
Cr 52.00 Cr.upf
Si 28.09 Si.upf
B 10.81 B.upf
P 30.97 P.upf
CELL_PARAMETERS angstrom
4.580 0.000 0.000
0.000 4.580 0.000
0.000 0.000 3.642
ATOMIC_POSITIONS angstrom
Cr 0.000 2.290 0.000
Cr 2.290 0.000 0.000
Si 0.000 0.000 0.000
B 0.000 0.000 1.821
P 2.290 2.290 1.821



[14]
! CrTcB2Pd | Alexandria | GGA-PBEsol | optimized geometry; values from VASP
! Formation enthalpy at 0 K, eV/atom: 1.460
&SYSTEM
  ibrav = 0, nat = 5, ntyp = 4
/
ATOMIC_SPECIES
Cr 52.00 Cr.upf
Tc 98.00 Tc.upf
B 10.81 B.upf
Pd 106.42 Pd.upf
CELL_PARAMETERS angstrom
3.845 0.000 0.000
0.000 3.845 0.000
0.000 0.000 4.403
ATOMIC_POSITIONS angstrom
Cr 0.000 0.000 0.000
Tc 1.923 1.923 2.202
B 0.000 1.923 0.000
B 1.923 0.000 0.000
Pd 0.000 0.000 2.202



[15]
! CrB2Pt | Alexandria | GGA-PBEsol | optimized geometry; values from VASP
! Formation enthalpy at 0 K, eV/atom: 0.243
&SYSTEM
  ibrav = 0, nat = 4, ntyp = 3
/
ATOMIC_SPECIES
Cr 52.00 Cr.upf
B 10.81 B.upf
Pt 195.08 Pt.upf
CELL_PARAMETERS angstrom
0.000 2.665 2.665
2.665 0.000 2.665
2.665 2.665 0.000
ATOMIC_POSITIONS angstrom
Cr 0.000 0.000 0.000
B 1.333 1.333 1.333
B 3.998 3.998 3.998
Pt 2.665 2.665 2.665



[16]
! CrBPt2 | Alexandria | GGA-PBEsol | optimized geometry; values from VASP
! Formation enthalpy at 0 K, eV/atom: 0.029
&SYSTEM
  ibrav = 0, nat = 8, ntyp = 3
/
ATOMIC_SPECIES
Cr 52.00 Cr.upf
B 10.81 B.upf
Pt 195.08 Pt.upf
CELL_PARAMETERS angstrom
-3.304 3.304 2.502
3.304 -3.304 2.502
3.304 3.304 -2.502
ATOMIC_POSITIONS angstrom
Cr 0.000 0.000 0.000
Cr 0.000 3.304 1.251
B 3.304 0.000 1.251
B 0.000 0.000 2.502
Pt 1.652 -1.050 1.877
Pt 2.254 1.652 0.626
Pt 1.652 4.354 -0.626
Pt 1.050 1.652 3.128



[17]
! Cr2BPtSe | Alexandria | GGA-PBEsol | optimized geometry; values from VASP
! Formation energy without anion corrections, kJ/mol of formula units: 416
&SYSTEM
  ibrav = 0, nat = 5, ntyp = 4
/
ATOMIC_SPECIES
Cr 52.00 Cr.upf
B 10.81 B.upf
Pt 195.08 Pt.upf
Se 78.96 Se.upf
CELL_PARAMETERS angstrom
4.925 0.000 0.000
0.000 4.925 0.000
0.000 0.000 3.900
ATOMIC_POSITIONS angstrom
Cr 0.000 2.462 0.000
Cr 2.462 0.000 0.000
B 0.000 0.000 1.950
Pt 0.000 0.000 0.000
Se 2.462 2.462 1.950



[18]
! RbCr3B | Alexandria | GGA-PBEsol | optimized geometry; values from VASP
! Formation enthalpy at 0 K, eV/atom: 1.286
&SYSTEM
  ibrav = 0, nat = 5, ntyp = 3
/
ATOMIC_SPECIES
Rb 85.47 Rb.upf
Cr 52.00 Cr.upf
B 10.81 B.upf
CELL_PARAMETERS angstrom
4.455 0.000 0.000
0.000 4.455 0.000
0.000 0.000 4.455
ATOMIC_POSITIONS angstrom
Rb 0.000 0.000 0.000
Cr 0.000 2.228 2.228
Cr 2.228 0.000 2.228
Cr 2.228 2.228 0.000
B 2.228 2.228 2.228



[19]
! RbCrB2 | Alexandria | GGA-PBEsol | optimized geometry; values from VASP
! Formation enthalpy at 0 K, eV/atom: 2.167
&SYSTEM
  ibrav = 0, nat = 4, ntyp = 3
/
ATOMIC_SPECIES
Rb 85.47 Rb.upf
Cr 52.00 Cr.upf
B 10.81 B.upf
CELL_PARAMETERS angstrom
0.000 3.162 3.162
3.162 0.000 3.162
3.162 3.162 0.000
ATOMIC_POSITIONS angstrom
Rb 0.000 0.000 0.000
Cr 3.162 3.162 3.162
B 1.581 1.581 1.581
B 4.743 4.743 4.743



no.,raw total energy (eV/f.u.)
1,-15.0
2,-23.7
3,-12.5
4,-85.0
5,-92.2
6,-20.2
7,-202.4
8,-83.3
9,-69.0
10,-32.8
11,-34.7
12,-153.0
13,-33.4
14,-34.2
15,-30.3
16,-31.1
17,-34.0
18,-32.3
19,-16.6